No. 1
The following is a PBE calculation of a relaxed Th4SiSe3 crystal, from Alexandria via LeMat-Bulk.

a = 7.3456 Å, b = 7.2927 Å, c = 8.4543 Å
α = 90.00°, β = 90.00°, γ = 109.41°
Positions (direct):
1 Si 0.7500 0.0000 0.8735
2 Si 0.2500 0.0000 0.1265
3 Se 0.7500 0.0000 0.3751
4 Se 0.2500 0.0000 0.6249
5 Se 0.7500 0.5000 0.6253
6 Se 0.7500 0.5000 0.1253
7 Se 0.2500 0.5000 0.3747
8 Se 0.2500 0.5000 0.8747
9 Th 0.9943 0.2453 0.6299
10 Th 0.4999 0.2391 0.8804
11 Th 0.4943 0.2453 0.3701
12 Th 0.9999 0.2391 0.1196
13 Th 0.0001 0.7609 0.8804
14 Th 0.5057 0.7547 0.6299
15 Th 0.5001 0.7609 0.1196
16 Th 0.0057 0.7547 0.3701

VASP energy	-7.075	eV per atom
symmetry	P2/c (13)

***

No. 2
The following is a PBE calculation of a relaxed Th2Si2Se crystal, from Alexandria via LeMat-Bulk.

a = 4.1560 Å, b = 4.1560 Å, c = 15.8003 Å
α = 90.00°, β = 90.00°, γ = 120.00°
Positions (direct):
1 Th 0.0000 0.0000 0.6190
2 Th 0.0000 0.0000 0.1190
3 Th 0.0000 0.0000 0.3810
4 Th 0.0000 0.0000 0.8810
5 Si 0.3333 0.6667 0.5005
6 Si 0.6667 0.3333 0.0005
7 Si 0.6667 0.3333 0.4995
8 Si 0.3333 0.6667 0.9995
9 Se 0.6667 0.3333 0.7500
10 Se 0.3333 0.6667 0.2500

VASP energy	-6.881	eV per atom
symmetry	P6_3/mmc (194)

***

No. 3
The following is a PBE calculation of a relaxed Th6TlSi2Se3 crystal, from Alexandria via LeMat-Bulk.

a = 4.3129 Å, b = 8.5661 Å, c = 9.5421 Å
α = 101.16°, β = 103.06°, γ = 90.00°
Positions (direct):
1 Th 0.3279 0.8978 0.6559
2 Th 0.6702 0.5770 0.3404
3 Th 0.6721 0.1022 0.3441
4 Th 0.0064 0.2651 0.0127
5 Th 0.9936 0.7349 0.9873
6 Th 0.3298 0.4230 0.6596
7 Tl 0.5000 0.0000 0.0000
8 Si 0.8319 0.6631 0.6638
9 Si 0.1681 0.3369 0.3362
10 Se 0.5000 0.5000 0.0000
11 Se 0.8376 0.1644 0.6752
12 Se 0.1624 0.8356 0.3248

VASP energy	-6.697	eV per atom
symmetry	C2/m (12)

***

No. 4
The following is a PBE calculation of a relaxed TmThSiSe crystal, from Alexandria via LeMat-Bulk.

a = 4.1707 Å, b = 4.1707 Å, c = 7.1816 Å
α = 73.12°, β = 73.12°, γ = 60.00°
Positions (direct):
1 Tm 0.6992 0.6992 0.9025
2 Th 0.1884 0.1884 0.4349
3 Si 0.4404 0.4404 0.6787
4 Se 0.9485 0.9485 0.1546

VASP energy	-6.412	eV per atom
symmetry	R3m (160)

***

No. 5
The following is a PBE calculation of a relaxed TiSiSe4 crystal, from Alexandria via LeMat-Bulk.

a = 5.7954 Å, b = 5.7954 Å, c = 9.9966 Å
α = 90.00°, β = 90.00°, γ = 90.00°
Positions (direct):
1 Ti 0.0000 0.0000 0.0000
2 Ti 0.0000 0.0000 0.5000
3 Si 0.0000 0.5000 0.2500
4 Si 0.5000 0.0000 0.7500
5 Se 0.2736 0.2406 0.8791
6 Se 0.7264 0.7594 0.8791
7 Se 0.2406 0.2736 0.3791
8 Se 0.2736 0.7594 0.6209
9 Se 0.7264 0.2406 0.6209
10 Se 0.2406 0.7264 0.1209
11 Se 0.7594 0.2736 0.1209
12 Se 0.7594 0.7264 0.3791

VASP energy	-5.144	eV per atom
symmetry	P-42c (112)

***

No. 6
The following is a PBE calculation of a relaxed TiSi2Se6 crystal, from Alexandria via LeMat-Bulk.

a = 6.5545 Å, b = 8.3803 Å, c = 8.3803 Å
α = 85.26°, β = 81.60°, γ = 81.60°
Positions (direct):
1 Ti 0.2500 0.1241 0.8759
2 Ti 0.7500 0.8759 0.1241
3 Si 0.1665 0.6232 0.7749
4 Si 0.3335 0.2251 0.3768
5 Si 0.8335 0.3768 0.2251
6 Si 0.6665 0.7749 0.6232
7 Se 0.3682 0.7093 0.5429
8 Se 0.1318 0.4571 0.2907
9 Se 0.6318 0.2907 0.4571
10 Se 0.8682 0.5429 0.7093
11 Se 0.8493 0.8818 0.3928
12 Se 0.6507 0.6072 0.1182
13 Se 0.1507 0.1182 0.6072
14 Se 0.3493 0.3928 0.8818
15 Se 0.1159 0.8224 0.9612
16 Se 0.3841 0.0388 0.1776
17 Se 0.8841 0.1776 0.0388
18 Se 0.6159 0.9612 0.8224

VASP energy	-4.938	eV per atom
symmetry	C2/c (15)

***

So what do the calculations give for M_tot? Going down the list: 0.00, 0.00, 0.00, 0.00, 0.00, 0.00 μB/f.u..
So what do the calculations give for V? Going down the list: 427.14, 236.35, 336.57, 101.92, 335.76, 449.60 Å³/cell.
So what do the calculations give for formation energy from raw total energies? Going down the list: -1.38, -1.05, -1.02, -1.21, -0.60, -0.53 eV/atom.